DFT (PBE) results for crystalline Cd2CoHg at its relaxed geometry.

## Properties
Calculated formation energy (meV per atom): 322

Lattice parameters (Å, degrees): 5.815 8.509 3.057 90.00 90.25 90.00
Sites, in units of the cell vectors:
Cd (0.250, 0.250, 0.000)
Cd (0.250, 0.750, 0.000)
Cd (0.750, 0.250, 0.000)
Cd (0.750, 0.750, 0.000)
Co (0.000, 0.000, 0.500)
Co (0.500, 0.500, 0.500)
Hg (0.000, 0.500, 0.500)
Hg (0.500, 0.000, 0.500)

DFT (PBE) results for crystalline SrRuPb4 at its relaxed geometry.

## Properties
Calculated formation energy (meV per atom): 471

Lattice parameters (Å, degrees): 6.386 6.386 6.386 60.00 60.00 60.00
Sites, in units of the cell vectors:
Sr (0.000, 0.000, 0.000)
Ru (0.250, 0.250, 0.250)
Pb (0.127, 0.624, 0.624)
Pb (0.624, 0.127, 0.624)
Pb (0.624, 0.624, 0.127)
Pb (0.624, 0.624, 0.624)

Question: What is the calculated formation energy in the first record?
Answer: 322 meV per atom

Question: calculated formation energy of number 1 (Cd2CoHg)?
Answer: 322 meV per atom